Compound: RbTi2TlZn
Source: Alexandria
Functional: GGA-PBEsol
Structure: optimized geometry

Geometry as CIF:
```
data_RbTi2TlZn
_symmetry_space_group_name_H-M 'P 4/m m m'
_symmetry_Int_Tables_number 123
_symmetry_space_group_name_Hall '-P 4 2'
_cell_length_a 4.740
_cell_length_b 4.740
_cell_length_c 5.150
_cell_angle_alpha 90.00
_cell_angle_beta 90.00
_cell_angle_gamma 90.00
loop_
_atom_site_label
_atom_site_type_symbol
_atom_site_fract_x
_atom_site_fract_y
_atom_site_fract_z
_atom_site_occupancy
Rb1 Rb 0.000 0.000 0.000 1
Ti1 Ti 0.000 0.500 0.000 1
Tl1 Tl 0.500 0.500 0.500 1
Zn1 Zn 0.000 0.000 0.500 1
```

Calculated values
Uncorrected energy in eV per atom: -2.485
Energy of formation from the pure elements in eV per atom: 1.891
ρ in g/cm³: 6.5

---

Compound: LaMnW2
Source: Alexandria
Functional: GGA-PBEsol
Structure: optimized geometry

Geometry as CIF:
```
data_LaMnW2
_symmetry_space_group_name_H-M 'I m m 2'
_symmetry_Int_Tables_number 44
_cell_length_a 3.130
_cell_length_b 5.121
_cell_length_c 8.800
_cell_angle_alpha 90.00
_cell_angle_beta 90.00
_cell_angle_gamma 90.00
loop_
_symmetry_equiv_pos_as_xyz
'x,y,z'
'-x,-y,z'
'-x,y,z'
'x,-y,z'
'x+1/2,y+1/2,z+1/2'
'-x+1/2,-y+1/2,z+1/2'
'-x+1/2,y+1/2,z+1/2'
'x+1/2,-y+1/2,z+1/2'
loop_
_atom_site_label
_atom_site_type_symbol
_atom_site_fract_x
_atom_site_fract_y
_atom_site_fract_z
_atom_site_occupancy
La1 La 0.000 0.000 0.000 1
Mn1 Mn 0.000 0.500 0.244 1
W1 W 0.000 0.000 0.517 1
W2 W 0.000 0.500 0.775 1
```

Calculated values
Uncorrected energy in eV per atom: -9.798
Energy of formation from the pure elements in eV per atom: 0.882
ρ in g/cm³: 13.2

---

Compound: HfBeSb2Ir
Source: Alexandria
Functional: GGA-PBEsol
Structure: optimized geometry

Geometry as CIF:
```
data_HfBeSb2Ir
_symmetry_space_group_name_H-M 'P 4/m m m'
_symmetry_Int_Tables_number 123
_symmetry_space_group_name_Hall '-P 4 2'
_cell_length_a 5.360
_cell_length_b 5.360
_cell_length_c 4.807
_cell_angle_alpha 90.00
_cell_angle_beta 90.00
_cell_angle_gamma 90.00
loop_
_atom_site_label
_atom_site_type_symbol
_atom_site_fract_x
_atom_site_fract_y
_atom_site_fract_z
_atom_site_occupancy
Hf1 Hf 0.000 0.000 0.000 1
Be1 Be 0.500 0.500 0.500 1
Sb1 Sb 0.000 0.500 0.000 1
Ir1 Ir 0.000 0.000 0.500 1
```

Calculated values
Uncorrected energy in eV per atom: -5.352
ρ in g/cm³: 7.5

---

Which value of ρ does entry 1 give?
6.5 g/cm³

---

The lowest uncorrected energy belongs to which entry?
LaMnW2

---

Look up the ρ of the first one.
6.5 g/cm³